Here is a relaxed CsKRe2O8 crystal from Alexandria via LeMat-Bulk. Energies are from PBE.

The calculation puts the theoretical density at 4.355 g cm⁻³. The calculation puts the total energy at -7.418 eV per atom. The value obtained for the density of states at the Fermi level is 0.0 states/eV per cell.

The structure belongs to space group C2/m (No. 12); the cell edges are 11.252, 6.409 and 7.872 Å and the angles 90.00°, 115.40° and 90.00°. The asymmetric unit holds Cs at (0.000, 0.000, 0.000), K at (0.000, 0.500, 0.500), Re at (0.223, 0.000, 0.688), O at (0.105, 0.500, 0.232), O at (0.148, 0.000, 0.441) and O at (0.173, 0.224, 0.769).